(1)
{
  "formula": "Ag2PbI",
  "functional": "PBE",
  "state": "optimized geometry",
  "lattice_angstrom": [[-0.527, -1.876, 4.583], [2.740, -4.705, 0.249], [9.088, 2.813, 2.558]],
  "species": ["Pb", "Pb", "I", "I", "Ag", "Ag", "Ag", "Ag"],
  "frac_coords": [[0.733, 0.087, 0.805], [0.267, 0.913, 0.195], [0.216, 0.656, 0.644], [0.784, 0.344, 0.356], [0.115, 0.324, 0.914], [0.885, 0.676, 0.086], [0.371, 0.751, 0.912], [0.629, 0.249, 0.088]],
  "space_group": "P-1 (2)",
  "polymorph_energy_ev_per_atom": 0.0000,
  "e_form_raw_mev_per_atom": -59
}



(2)
{
  "formula": "Ag2PbI",
  "functional": "PBE",
  "state": "optimized geometry",
  "lattice_angstrom": [[0.000, 3.738, 3.738], [3.738, 0.000, 3.738], [3.738, 3.738, 0.000]],
  "species": ["Pb", "I", "Ag", "Ag"],
  "frac_coords": [[0.500, 0.500, 0.500], [0.000, 0.000, 0.000], [0.250, 0.250, 0.250], [0.750, 0.750, 0.750]],
  "space_group": "Fm-3m (225)",
  "polymorph_energy_ev_per_atom": 0.4525,
  "e_form_raw_mev_per_atom": 393
}